Record 1
{
  "formula": "Tb5Pr2Er2",
  "functional": "PBE",
  "state": "relaxed",
  "e_form_ev_per_fu": 1.99,
  "polymorph_energy_mev_per_atom": 60,
  "cell": [[-1.6116, -1.6046, 2.6599], [2.7445, -7.2667, -2.7208], [7.5250, 7.5159, 6.7913]],
  "species": ["Tb", "Pr", "Tb", "Er", "Tb", "Pr", "Er", "Tb", "Tb"],
  "frac_coords": [[0.0000, 0.0000, 0.0000], [0.8202, 0.7853, 0.6404], [0.0941, 0.4551, 0.1882], [0.4527, 0.2621, 0.9054], [0.3096, 0.1526, 0.6192], [0.1798, 0.2147, 0.3596], [0.5473, 0.7379, 0.0946], [0.6904, 0.8474, 0.3808], [0.9059, 0.5449, 0.8118]]
}

Record 2
{
  "formula": "ScMn2Ni",
  "functional": "PBE",
  "state": "relaxed",
  "e_form_ev_per_fu": 1.24,
  "cell": [[-4.2037, -6.8502, -3.2593], [-1.8727, -8.1525, -2.2911], [-4.0504, -7.6501, -0.5383]],
  "species": ["Sc", "Ni", "Mn", "Mn"],
  "frac_coords": [[0.7500, 0.7500, 0.7500], [0.2500, 0.2500, 0.2500], [0.5082, 0.5082, 0.5082], [0.9918, 0.9918, 0.9918]]
}

Record 3
{
  "formula": "ZnCu2Br4",
  "functional": "PBE",
  "state": "relaxed",
  "polymorph_energy_mev_per_atom": 32,
  "formation_energy_uncorrected_ev_per_atom": -0.480,
  "cell": [[5.3207, 0.0000, -2.2628], [-0.9623, 5.2329, -2.2628], [-0.0053, -0.0064, 7.3743]],
  "species": ["Br", "Br", "Cu", "Zn", "Br", "Br", "Cu"],
  "frac_coords": [[0.1285, 0.6369, 0.7654], [0.8715, 0.8715, 0.2346], [0.0000, 0.5000, 0.0000], [0.0000, 0.0000, 0.0000], [0.3631, 0.3631, 0.2346], [0.6369, 0.1285, 0.7654], [0.5000, 0.0000, 0.0000]]
}

Calculated Fermi-level density of states in order - 12.92, 4.09, 0.00 states/eV/f.u.
Calculated V in order - 34.41, 14.88, 29.31 Å³ per atom
Calculated uncorrected energy in order - -39.84, -29.21, -19.52 eV for the cell shown